Entry i
Material: LiThMg
Method: DFT, PBE-GGA
State: optimized geometry Values from VASP.

Properties
Magnetic moment: 0.000 μB/cell

Geometry as Quantum ESPRESSO input:
```
&SYSTEM
  ibrav = 0, nat = 6, ntyp = 3
/
ATOMIC_SPECIES
Li 6.94 Li.upf
Th 232.04 Th.upf
Mg 24.30 Mg.upf
ATOMIC_POSITIONS crystal
Li 0.191 0.191 0.191
Li 0.809 0.809 0.809
Th 0.363 0.363 0.363
Th 0.637 0.637 0.637
Mg 0.248 0.248 0.248
Mg 0.752 0.752 0.752
CELL_PARAMETERS angstrom
1.666 0.962 17.383
-1.666 0.962 17.383
0.000 -1.924 17.383
```

=====

Entry ii
Material: LiThMg
Method: DFT, PBE-GGA
State: optimized geometry Values from VASP.

Properties
Magnetic moment: 0.000 μB/cell

Geometry as Quantum ESPRESSO input:
```
&SYSTEM
  ibrav = 0, nat = 3, ntyp = 3
/
ATOMIC_SPECIES
Li 6.94 Li.upf
Th 232.04 Th.upf
Mg 24.30 Mg.upf
ATOMIC_POSITIONS crystal
Li 0.000 0.000 0.000
Th 0.667 0.333 0.352
Mg 0.333 0.667 0.699
CELL_PARAMETERS angstrom
3.321 0.000 0.000
-1.661 2.876 0.000
0.000 0.000 8.363
```

=====

Entry iii
Material: LiThMg
Method: DFT, PBE-GGA
State: optimized geometry Values from VASP.

Properties
Magnetic moment: 0.000 μB/cell

Geometry as Quantum ESPRESSO input:
```
&SYSTEM
  ibrav = 0, nat = 3, ntyp = 3
/
ATOMIC_SPECIES
Li 6.94 Li.upf
Th 232.04 Th.upf
Mg 24.30 Mg.upf
ATOMIC_POSITIONS crystal
Li 0.000 0.000 0.000
Th 0.319 0.319 0.000
Mg 0.631 0.631 0.000
CELL_PARAMETERS angstrom
-1.673 1.673 6.662
1.673 -1.673 6.662
1.673 1.673 -6.662
```

=====

Referenced to the most stable arrangement, the calculated values in meV per atom are entry i 33; entry ii 15; entry iii 0.